[1]
Fe2BiIr | PBE-GGA | relaxed

POSCAR file:
```
Fe2BiIr
1.0
-1.9974 1.9974 8.7866
1.9974 -1.9974 8.7866
1.9974 1.9974 -8.7866
Fe Bi Ir
4 2 2
direct
0.0132 0.6250 0.8882 Fe
0.3750 0.2632 0.3882 Fe
0.7368 0.1250 0.1118 Fe
0.8750 0.9868 0.6118 Fe
0.2500 0.7500 0.5000 Bi
0.5000 0.5000 0.0000 Bi
0.0000 0.0000 0.0000 Ir
0.7500 0.2500 0.5000 Ir
```

Results
Energy relative to the elements ... 0.8712 eV per atom

[2]
CsPO2 | PBE-GGA | relaxed

POSCAR file:
```
CsPO2
1.0
6.9003 0.0000 0.0000
0.0000 3.2292 0.0000
0.0000 0.0000 14.8348
Cs P O
4 4 8
direct
0.2178 0.2500 0.1389 Cs
0.2822 0.7500 0.6389 Cs
0.7178 0.2500 0.3611 Cs
0.7822 0.7500 0.8611 Cs
0.2050 0.7500 0.3871 P
0.2950 0.2500 0.8871 P
0.7050 0.7500 0.1129 P
0.7950 0.2500 0.6129 P
0.1468 0.2500 0.8103 O
0.2387 0.7500 0.9438 O
0.2613 0.2500 0.4438 O
0.3532 0.7500 0.3103 O
0.6468 0.2500 0.6897 O
0.7387 0.7500 0.5562 O
0.7613 0.2500 0.0562 O
0.8532 0.7500 0.1897 O
```

Results
Energy relative to the elements, uncorrected ... -1.51 eV/atom

[3]
H2PbClO | PBE-GGA | relaxed

POSCAR file:
```
H2PbClO
1.0
2.7653 -5.1724 0.0000
2.7653 5.1724 0.0000
0.0000 0.0000 6.5063
H Pb Cl O
4 2 2 2
direct
0.0881 0.9119 0.5549 H
0.0881 0.9119 0.9451 H
0.9119 0.0881 0.0549 H
0.9119 0.0881 0.4451 H
0.4915 0.5085 0.2500 Pb
0.5085 0.4915 0.7500 Pb
0.2422 0.7578 0.7500 Cl
0.7578 0.2422 0.2500 Cl
0.0000 0.0000 0.0000 O
0.0000 0.0000 0.5000 O
```

Results
E_tot ... -40.21 eV for the cell shown

[4]
TaCoIr | PBE-GGA | relaxed

POSCAR file:
```
TaCoIr
1.0
-3.6305 5.2396 3.5242
3.6305 -5.2396 3.5242
3.6305 5.2396 -3.5242
Ta Co Ir
6 6 6
direct
0.1740 0.0410 0.2151 Ta
0.1740 0.4590 0.6330 Ta
0.4452 0.7574 0.1878 Ta
0.5697 0.2574 0.8122 Ta
0.8260 0.5410 0.3670 Ta
0.8260 0.9590 0.7849 Ta
0.2471 0.2471 0.0000 Co
0.2471 0.7471 0.5000 Co
0.5479 0.2178 0.4414 Co
0.5479 0.6065 0.8301 Co
0.7764 0.1065 0.5586 Co
0.7764 0.7178 0.1699 Co
0.0021 0.4657 0.0365 Ir
0.1477 0.0630 0.5847 Ir
0.4292 0.9657 0.9635 Ir
0.4783 0.5630 0.4153 Ir
0.8669 0.1540 0.2128 Ir
0.9412 0.6540 0.7872 Ir
```

Results
Energy relative to the elements ... -0.1830 eV per atom
Excess energy over the best structure of this formula in the dataset ... 0.287 eV/atom

[5]
TaTl2W | PBE-GGA | relaxed

POSCAR file:
```
TaTl2W
1.0
1.5007 0.8664 11.4483
-1.5007 0.8664 11.4483
0.0000 -1.7329 11.4483
Ta Tl W
1 2 1
direct
0.0000 0.0000 0.0000 Ta
0.2548 0.2548 0.2548 Tl
0.4803 0.4803 0.4803 Tl
0.7366 0.7366 0.7366 W
```

Results
Energy relative to the elements ... 0.7030 eV per atom
Excess energy over the best structure of this formula in the dataset ... 0.188 eV/atom

[6]
BeAg2Rh | PBE-GGA | relaxed

POSCAR file:
```
BeAg2Rh
1.0
2.7943 0.0000 0.0000
0.0000 3.8917 0.0000
0.0000 0.0000 5.4488
Be Ag Rh
1 2 1
direct
0.0000 0.0000 0.0000 Be
0.5000 0.5000 0.2405 Ag
0.5000 0.5000 0.7595 Ag
0.0000 0.0000 0.5000 Rh
```

Results
Energy relative to the elements ... 0.2728 eV per atom

[7]
CeDyGeTe | PBE-GGA | relaxed

POSCAR file:
```
CeDyGeTe
1.0
2.1492 1.2408 7.1366
-2.1492 1.2408 7.1366
0.0000 -2.4816 7.1366
Ce Dy Ge Te
1 1 1 1
direct
0.0000 0.0000 0.0000 Ce
0.4822 0.4822 0.4822 Dy
0.7420 0.7420 0.7420 Ge
0.2385 0.2385 0.2385 Te
```

Results
Energy relative to the elements, uncorrected ... -1.14 eV/atom

[8]
Pm12Pr5Y | PBE-GGA | relaxed

POSCAR file:
```
Pm12Pr5Y
1.0
6.0093 -8.8155 0.0000
6.0093 8.8155 0.0000
-0.0001 0.0000 5.9182
Pm Pr Y
12 5 1
direct
0.0263 0.6672 0.5068 Pm
0.1666 0.5249 0.9936 Pm
0.2023 0.2023 0.0376 Pm
0.3013 0.3013 0.5364 Pm
0.3328 0.9737 0.4932 Pm
0.4751 0.8334 0.0064 Pm
0.5249 0.1666 0.9936 Pm
0.6672 0.0263 0.5068 Pm
0.6987 0.6987 0.4636 Pm
0.7977 0.7977 0.9624 Pm
0.8334 0.4751 0.0064 Pm
0.9737 0.3328 0.4932 Pm
0.0000 0.0000 0.5000 Pr
0.1382 0.8618 0.0000 Pr
0.3643 0.6357 0.5000 Pr
0.6357 0.3643 0.5000 Pr
0.8618 0.1382 0.0000 Pr
0.5000 0.5000 0.0000 Y
```

Results
Energy relative to the elements ... 0.0787 eV per atom

[9]
Zr5Sn2 | PBE-GGA | relaxed

POSCAR file:
```
Zr5Sn2
1.0
7.3512 -2.5596 0.0000
7.3512 2.5596 0.0000
-1.5859 0.0000 8.4260
Zr Sn
10 4
direct
0.0768 0.5103 0.6768 Zr
0.0913 0.6351 0.0331 Zr
0.2344 0.7656 0.7500 Zr
0.3649 0.9087 0.4669 Zr
0.4897 0.9232 0.8232 Zr
0.5103 0.0768 0.1768 Zr
0.6351 0.0913 0.5331 Zr
0.7656 0.2344 0.2500 Zr
0.9087 0.3649 0.9669 Zr
0.9232 0.4897 0.3232 Zr
0.1834 0.6439 0.3872 Sn
0.3561 0.8166 0.1128 Sn
0.6439 0.1834 0.8872 Sn
0.8166 0.3561 0.6128 Sn
```

Results
Energy relative to the elements ... -0.3287 eV per atom

[10]
Li2LaTa | PBE-GGA | relaxed

POSCAR file:
```
Li2LaTa
1.0
5.6075 -1.4697 0.0000
5.6075 1.4697 0.0000
-2.6153 0.0000 5.1236
Li La Ta
2 1 1
direct
0.0000 0.0000 0.0000 Li
0.7259 0.7259 0.0659 Li
0.2343 0.2343 0.5915 La
0.4689 0.4689 0.4587 Ta
```

Results
Energy relative to the elements ... 0.5010 eV per atom
Excess energy over the best structure of this formula in the dataset ... 0.159 eV/atom

[11]
Sb2Pd7PtPb2 | PBE-GGA | relaxed

POSCAR file:
```
Sb2Pd7PtPb2
1.0
2.7839 -2.7916 0.0000
2.7839 2.7916 0.0000
-1.6490 0.0000 15.9189
Sb Pd Pt Pb
2 7 1 2
direct
0.1398 0.1398 0.4164 Sb
0.8602 0.8602 0.5836 Sb
0.0372 0.5378 0.1269 Pd
0.3556 0.3556 0.5757 Pd
0.4622 0.9628 0.8731 Pd
0.5000 0.5000 0.0000 Pd
0.5378 0.0372 0.1269 Pd
0.6444 0.6444 0.4243 Pd
0.9628 0.4622 0.8731 Pd
0.0000 0.0000 0.0000 Pt
0.4271 0.4271 0.7510 Pb
0.5729 0.5729 0.2490 Pb
```

Results
Energy relative to the elements, uncorrected ... -0.15 eV/atom

[12]
Zr2ReP2 | PBE-GGA | relaxed

POSCAR file:
```
Zr2ReP2
1.0
6.1704 0.0000 0.0000
0.0000 6.1704 0.0000
0.0000 0.0000 4.2729
Zr Re P
4 2 4
direct
0.1709 0.3291 0.0000 Zr
0.3291 0.8291 0.0000 Zr
0.6709 0.1709 0.0000 Zr
0.8291 0.6709 0.0000 Zr
0.0000 0.0000 0.5000 Re
0.5000 0.5000 0.5000 Re
0.1350 0.6350 0.5000 P
0.3650 0.1350 0.5000 P
0.6350 0.8650 0.5000 P
0.8650 0.3650 0.5000 P
```

Results
Energy relative to the elements ... -0.8857 eV per atom